# 1
Li3Ag4Ge2: optimized geometry, GGA-PBE.

Results
**Energy of formation from the pure elements**: -0.198 eV/atom
**Crystal system**: triclinic
**Symmetry**: P-1 (2)
**Total energy**: -3.129 eV/atom
**Theoretical density**: 6.7 Mg/m³

a b c (Å): 4.494 4.541 9.507
angles (deg): 60.82 76.20 60.54
Fractional positions:
Li1 0.667 0.098 0.567
Li2 0.000 0.000 0.000
Li3 0.333 0.902 0.433
Ag1 0.332 0.235 0.099
Ag2 0.999 0.328 0.672
Ag3 0.001 0.672 0.328
Ag4 0.668 0.765 0.901
Ge1 0.666 0.432 0.235
Ge2 0.334 0.568 0.765


# 2
TlS8: optimized geometry, GGA-PBE.

Results
**Raw formation energy**: 42 meV/atom
**Crystal system**: triclinic
**Symmetry**: P-1 (2)
**Total energy**: -3.890 eV/atom
**Theoretical density**: 2.8 Mg/m³

a b c (Å): 6.484 11.675 5.734
angles (deg): 106.69 70.89 56.67
Fractional positions:
Tl1 0.000 0.000 0.000
S1 0.774 0.964 0.590
S2 0.226 0.036 0.410
S3 0.255 0.197 0.517
S4 0.192 0.575 0.986
S5 0.588 0.363 0.100
S6 0.808 0.425 0.014
S7 0.745 0.803 0.483
S8 0.412 0.637 0.900


# 3
MgAl2Ge2: optimized geometry, GGA-PBE.

Results
**Energy of formation from the pure elements**: -0.087 eV/atom
**Crystal system**: trigonal
**Symmetry**: P-3m1 (164)
**Total energy**: -3.750 eV/atom
**Theoretical density**: 3.7 Mg/m³

a b c (Å): 4.136 4.136 6.759
angles (deg): 90.00 90.00 120.00
Fractional positions:
Mg1 0.000 0.000 0.000
Ge1 0.667 0.333 0.762
Ge2 0.333 0.667 0.238
Al1 0.667 0.333 0.368
Al2 0.333 0.667 0.632


# 4
PmGdZnIr: optimized geometry, GGA-PBE.

Results
**Energy of formation from the pure elements**: -0.544 eV/atom
**Crystal system**: cubic
**Symmetry**: F-43m (216)
**Total energy**: -7.786 eV/atom
**Theoretical density**: 10.4 Mg/m³

a b c (Å): 5.021 5.021 5.021
angles (deg): 60.00 60.00 60.00
Last column: magnetic moment on the atom in μB.
Fractional positions:
Gd1 0.250 0.250 0.250  6.99
Zn1 0.500 0.500 0.500  -0.01
Ir1 0.000 0.000 0.000  -0.05
Pm1 0.750 0.750 0.750  0.00